No. 1
Compound: KMn2Tc
Source: Alexandria via LeMat-Bulk
Functional: PBE-GGA
Structure: optimized geometry

Unit cell a=5.433 b=5.433 c=5.433 alpha=136.23 beta=136.23 gamma=63.63
Element x y z (fractional)
K  0.000  0.000  0.000
Mn  0.250  0.750  0.500
Mn  0.500  0.500  0.000
Tc  0.750  0.250  0.500

DOS at the Fermi energy = 1.552 states/eV/atom
ΔH_f (0 K) = 566 kJ/mol of formula units
magnetic moment = 7.0 μB per formula unit

***

No. 2
Compound: KMnTc2
Source: Alexandria via LeMat-Bulk
Functional: PBE-GGA
Structure: optimized geometry

Unit cell a=5.143 b=5.143 c=2.609 alpha=90.00 beta=90.00 gamma=90.00
Element x y z (fractional)
K  0.000  0.000  0.000
Mn  0.500  0.500  0.000
Tc  0.000  0.500  0.500
Tc  0.500  0.000  0.500

DOS at the Fermi energy = 1.417 states/eV/atom
ΔH_f (0 K) = 615 kJ/mol of formula units
magnetic moment = 2.4 μB per formula unit